(1)
Material: Mg2AlCu2
Method: DFT, PBE
State: relaxed

```
data_Mg2AlCu2
_cell_length_a 7.700
_cell_length_b 7.700
_cell_length_c 2.816
_cell_angle_alpha 90.00
_cell_angle_beta 90.00
_cell_angle_gamma 90.00
_space_group_name_H-M_alt 'P 1'
_space_group_IT_number 1
_space_group_name_Hall 'P 1'
loop_
_atom_site_label
_atom_site_fract_x
_atom_site_fract_y
_atom_site_fract_z
Mg1 0.132 0.368 0.000
Mg2 0.368 0.868 0.000
Mg3 0.632 0.132 0.000
Mg4 0.868 0.632 0.000
Al1 0.000 0.000 0.000
Al2 0.500 0.500 0.000
Cu1 0.165 0.665 0.500
Cu2 0.335 0.165 0.500
Cu3 0.665 0.835 0.500
Cu4 0.835 0.335 0.500
```

## Properties
The energy of formation comes out at 0.107 eV per atom. The total moment is 0.000 μB per formula unit.

(2)
Material: MgAl2Cu
Method: DFT, PBE
State: relaxed

```
data_MgAl2Cu
_cell_length_a 5.534
_cell_length_b 5.534
_cell_length_c 2.849
_cell_angle_alpha 104.32
_cell_angle_beta 104.32
_cell_angle_gamma 119.70
_space_group_name_H-M_alt 'P 1'
_space_group_IT_number 1
_space_group_name_Hall 'P 1'
loop_
_atom_site_label
_atom_site_fract_x
_atom_site_fract_y
_atom_site_fract_z
Mg1 0.000 0.000 0.000
Al1 0.000 0.500 0.500
Al2 0.500 0.000 0.500
Cu1 0.500 0.500 0.000
```

## Properties
The energy of formation comes out at 0.057 eV per atom. The total moment is 0.000 μB per formula unit.

(3)
Material: Mg16Al12Cu
Method: DFT, PBE
State: relaxed

```
data_Mg16Al12Cu
_cell_length_a 9.024
_cell_length_b 9.024
_cell_length_c 9.024
_cell_angle_alpha 109.16
_cell_angle_beta 109.16
_cell_angle_gamma 109.16
_space_group_name_H-M_alt 'P 1'
_space_group_IT_number 1
_space_group_name_Hall 'P 1'
loop_
_atom_site_label
_atom_site_fract_x
_atom_site_fract_y
_atom_site_fract_z
Mg1 0.000 0.000 0.000
Mg2 0.276 0.680 0.680
Mg3 0.314 0.590 0.991
Mg4 0.314 0.991 0.590
Mg5 0.343 0.995 0.995
Mg6 0.417 0.417 0.696
Mg7 0.417 0.696 0.417
Mg8 0.590 0.314 0.991
Mg9 0.590 0.991 0.314
Mg10 0.680 0.276 0.680
Mg11 0.680 0.680 0.276
Mg12 0.696 0.417 0.417
Mg13 0.991 0.314 0.590
Mg14 0.991 0.590 0.314
Mg15 0.995 0.343 0.995
Mg16 0.995 0.995 0.343
Al1 0.161 0.349 0.349
Al2 0.183 0.183 0.800
Al3 0.183 0.800 0.183
Al4 0.349 0.161 0.349
Al5 0.349 0.349 0.161
Al6 0.631 0.812 0.994
Al7 0.631 0.994 0.812
Al8 0.800 0.183 0.183
Al9 0.812 0.631 0.994
Al10 0.812 0.994 0.631
Al11 0.994 0.631 0.812
Al12 0.994 0.812 0.631
Cu1 0.711 0.711 0.711
```

## Properties
The energy of formation comes out at -0.023 eV per atom. Its distance to the lowest polymorph of the same formula is 0.010 eV/atom. The total moment is 0.000 μB per formula unit.

(4)
Material: Mg2AlCu
Method: DFT, PBE
State: relaxed

```
data_Mg2AlCu
_cell_length_a 5.021
_cell_length_b 5.021
_cell_length_c 5.021
_cell_angle_alpha 131.36
_cell_angle_beta 131.36
_cell_angle_gamma 71.24
_space_group_name_H-M_alt 'P 1'
_space_group_IT_number 1
_space_group_name_Hall 'P 1'
loop_
_atom_site_label
_atom_site_fract_x
_atom_site_fract_y
_atom_site_fract_z
Mg1 0.000 0.000 0.000
Mg2 0.750 0.250 0.500
Al1 0.250 0.750 0.500
Cu1 0.500 0.500 0.000
```

## Properties
The energy of formation comes out at 0.012 eV per atom. The total moment is 0.000 μB per formula unit.